1.
# Tb3ErSb4 PBE optimized geometry
data_Tb3ErSb4
_chemical_formula_sum 'Tb3 Er1 Sb4'
_symmetry_space_group_name_H-M 'P m -3 m'
_symmetry_Int_Tables_number 221
_symmetry_space_group_name_Hall '-P 4 2 3'
_cell_length_a 6.2024
_cell_length_b 6.2024
_cell_length_c 6.2024
_cell_angle_alpha 90.00
_cell_angle_beta 90.00
_cell_angle_gamma 90.00
loop_
_atom_site_label
_atom_site_type_symbol
_atom_site_fract_x
_atom_site_fract_y
_atom_site_fract_z
Tb1 Tb 0.0000 0.0000 0.5000
Er1 Er 0.5000 0.5000 0.5000
Sb1 Sb 0.0000 0.0000 0.0000
Sb2 Sb 0.0000 0.5000 0.5000
# **M_tot**: 0.00 μB/cell
# **Raw total energy**: -44.01 eV for the cell shown


2.
# BaB2Ir PBE optimized geometry
data_BaB2Ir
_chemical_formula_sum 'Ba4 B8 Ir4'
_symmetry_space_group_name_H-M 'F -4 3 m'
_symmetry_Int_Tables_number 216
_symmetry_space_group_name_Hall 'F -4 2 3'
_cell_length_a 6.5649
_cell_length_b 6.5649
_cell_length_c 6.5649
_cell_angle_alpha 90.00
_cell_angle_beta 90.00
_cell_angle_gamma 90.00
loop_
_atom_site_label
_atom_site_type_symbol
_atom_site_fract_x
_atom_site_fract_y
_atom_site_fract_z
Ba1 Ba 0.0000 0.0000 0.0000
B1 B 0.0000 0.0000 0.5000
B2 B 0.2500 0.2500 0.7500
Ir1 Ir 0.2500 0.2500 0.2500
# **M_tot**: 0.01 μB/cell
# **Raw total energy**: -66.39 eV for the cell shown